[1]
Li2CrO4 | GGA-PBEsol | optimized geometry

a = 6.6911 Å, b = 5.1898 Å, c = 5.0689 Å
α = 90.00°, β = 90.00°, γ = 90.00°
Space group Pmn2_1 (No. 31)
Unique sites:
Li (0.2487, 0.1774, 0.0000) (multiplicity 4)
Cr (0.0000, 0.6848, 0.9933) (multiplicity 2)
O (0.0000, 0.3729, 0.0558) (multiplicity 2)
O (0.0000, 0.7341, 0.6722) (multiplicity 2)
O (0.2004, 0.8204, 0.1193) (multiplicity 4)

Values from the calculation:
M_tot in μB/f.u.: 0.00
Crystal system: orthorhombic
Uncorrected formation energy in eV/atom: -2.005
Energy relative to the lowest polymorph listed for this composition in kJ/mol of formula units: 13

=====

[2]
SrFe3P4O14 | GGA-PBEsol | optimized geometry

a = 7.4961 Å, b = 7.6267 Å, c = 9.6125 Å
α = 90.00°, β = 111.78°, γ = 90.00°
Space group P2_1/c (No. 14)
Unique sites:
Sr (0.0000, 0.0000, 0.0000) (multiplicity 2)
Fe (0.3203, 0.1313, 0.4734) (multiplicity 4)
Fe (0.5000, 0.0000, 0.0000) (multiplicity 2)
P (0.0981, 0.0573, 0.6994) (multiplicity 4)
P (0.3844, 0.7063, 0.1924) (multiplicity 4)
O (0.1066, 0.5158, 0.8132) (multiplicity 4)
O (0.1239, 0.1844, 0.5865) (multiplicity 4)
O (0.1771, 0.6322, 0.1741) (multiplicity 4)
O (0.2200, 0.1110, 0.8631) (multiplicity 4)
O (0.3414, 0.6189, 0.6102) (multiplicity 4)
O (0.4728, 0.5768, 0.1144) (multiplicity 4)
O (0.4928, 0.7149, 0.3623) (multiplicity 4)

Values from the calculation:
M_tot in μB/f.u.: 12.00
Crystal system: monoclinic
Uncorrected formation energy in eV/atom: -2.018

=====

[3]
Mg5C3 | GGA-PBEsol | optimized geometry

a = 6.2861 Å, b = 9.0773 Å, c = 3.6488 Å
α = 90.00°, β = 90.00°, γ = 90.00°
Space group Cmmm (No. 65)
Unique sites:
Mg (0.0000, 0.0000, 0.0000) (multiplicity 2)
Mg (0.1956, 0.5000, 0.5000) (multiplicity 4)
Mg (0.2500, 0.2500, 0.0000) (multiplicity 4)
C (0.0000, 0.1346, 0.5000) (multiplicity 4)
C (0.0000, 0.5000, 0.0000) (multiplicity 2)

Values from the calculation:
M_tot in μB/f.u.: 0.00
ΔE_f in eV per atom: 0.667
Crystal system: orthorhombic

=====

[4]
CaPSe | GGA-PBEsol | optimized geometry

a = 3.8365 Å, b = 3.8365 Å, c = 9.7238 Å
α = 90.00°, β = 90.00°, γ = 90.00°
Space group I4mm (No. 107)
Unique sites:
Ca (0.0000, 0.0000, 0.0000) (multiplicity 2)
P (0.0000, 0.0000, 0.6096) (multiplicity 2)
Se (0.0000, 0.0000, 0.3731) (multiplicity 2)

Values from the calculation:
M_tot in μB/f.u.: 0.00
Crystal system: tetragonal
Uncorrected formation energy in eV/atom: -0.772

=====

[5]
FeCu2Pt | GGA-PBEsol | optimized geometry

a = 8.5374 Å, b = 2.6640 Å, c = 4.4565 Å
α = 90.00°, β = 101.05°, γ = 90.00°
Space group Cm (No. 8)
Unique sites:
Fe (0.0000, 0.0000, 0.0000) (multiplicity 2)
Cu (0.0028, 0.5000, 0.5117) (multiplicity 2)
Cu (0.2507, 0.0000, 0.7366) (multiplicity 2)
Pt (0.2507, 0.5000, 0.2348) (multiplicity 2)

Values from the calculation:
M_tot in μB/f.u.: 3.03
ΔE_f in eV per atom: -0.016
Crystal system: monoclinic

=====

[6]
Y2NiAs | GGA-PBEsol | optimized geometry

a = 3.9668 Å, b = 3.9668 Å, c = 20.0917 Å
α = 90.00°, β = 90.00°, γ = 120.00°
Space group R3m (No. 160, hexagonal axes)
Unique sites:
Y (0.0000, 0.0000, 0.0000) (multiplicity 3)
Y (0.0000, 0.0000, 0.1847) (multiplicity 3)
Ni (0.0000, 0.0000, 0.4138) (multiplicity 3)
As (0.0000, 0.0000, 0.7646) (multiplicity 3)

Values from the calculation:
M_tot in μB/f.u.: 0.00
ΔE_f in eV per atom: -0.770
Crystal system: trigonal

=====

Number 1: DOS(E_F) 0.00 states/eV/f.u.. Number 2: DOS(E_F) 8.62 states/eV/f.u.. Number 3: DOS(E_F) 0.04 states/eV/f.u.. Number 4: DOS(E_F) 1.22 states/eV/f.u.. Number 5: DOS(E_F) 2.63 states/eV/f.u.. Number 6: DOS(E_F) 4.66 states/eV/f.u..